VASP calculation (PBE) on crystalline Tl5CdHg4 at its relaxed geometry.

It has space group P4/mmm (No. 123), with a = 3.944 Å, b = 3.944 Å, c = 18.411 Å, α = 90.00°, β = 90.00° and γ = 90.00°. The asymmetric unit holds Tl at (0.000, 0.000, 0.000), Tl at (0.000, 0.000, 0.204), Tl at (0.000, 0.000, 0.402), Cd at (0.500, 0.500, 0.500), Hg at (0.500, 0.500, 0.101) and Hg at (0.500, 0.500, 0.304).

The calculation puts the electronic total energy at -1.392 eV/atom. The formation energy comes out at 3.4 meV per atom. For the relative energy among the computed polymorphs, the calculation gives 0 meV/atom.